First-principles (PBE) data for a relaxed AlTl2Ag crystal, as listed in Alexandria via LeMat-Bulk.

Cell: 5.1855 5.1855 5.1855 Å, 60.00 60.00 60.00°
Closest atoms and distances in Å follow each position.
Element x y z (fractional)
Al 0.0000 0.0000 0.0000  4 Ag 3.18, 4 Tl 3.18
Tl 0.2500 0.2500 0.2500  4 Tl 3.18, 4 Al 3.18
Tl 0.5000 0.5000 0.5000  4 Ag 3.18, 4 Tl 3.18
Ag 0.7500 0.7500 0.7500  4 Tl 3.18, 4 Al 3.18

Calculated values
Energy of formation (meV/atom): 301
Calculated total energy (eV per cell): -10.123
Magnetic moment (μB per formula unit): 0.00

---

First-principles (PBE) data for a relaxed AlTl2Ag crystal, as listed in Alexandria via LeMat-Bulk.

Cell: 3.9961 4.4720 5.7860 Å, 90.00 109.93 90.00°
Closest atoms and distances in Å follow each position.
Element x y z (fractional)
Al 0.0000 0.0000 0.0000  2 Ag 2.69, 1 Tl 2.98
Tl 0.2768 0.0000 0.5475  3 Al 2.98-3.17, 4 Ag 3.14-3.15
Tl 0.5809 0.5000 0.1677  3 Ag 3.03-3.13, 4 Al 3.13-3.14
Ag 0.8620 0.5000 0.7240  2 Al 2.69

Calculated values
Energy of formation (meV/atom): 159
Calculated total energy (eV per cell): -10.692
Magnetic moment (μB per formula unit): 0.00